Material: CsCdN2
Method: DFT, PBE
State: relaxed

The magnetization is 3.00 μB per formula unit. The uncorrected formation energy comes out at 1.408 eV per atom.

The space group is R-3m (No. 166, hexagonal axes) and the conventional cell measures 4.3526, 4.3526 and 23.5404 Å, with angles of 90.00, 90.00 and 120.00 degrees. The inequivalent atoms are Cs at (0.0000, 0.0000, 0.0000), Cd at (0.0000, 0.0000, 0.5000) and N at (0.0000, 0.0000, 0.4134).

***

Material: Ti5S5N2
Method: DFT, PBE
State: relaxed

The magnetization is 0.00 μB per formula unit. The uncorrected formation energy comes out at -1.316 eV per atom.

The space group is C2/m (No. 12) and the conventional cell measures 11.644, 3.401 and 9.502 Å, with angles of 90.00, 91.36 and 90.00 degrees. The inequivalent atoms are Ti at (0.000, 0.000, 0.000), Ti at (0.065, 0.500, 0.752), Ti at (0.120, 0.000, 0.394), S at (0.000, 0.500, 0.500), S at (0.145, 0.500, 0.977), S at (0.226, 0.000, 0.654) and N at (0.026, 0.000, 0.221).

***

Material: Zr3BiH
Method: DFT, PBE
State: relaxed

As for the total energy: -137.99 eV per cell. The magnetization is 0.00 μB per formula unit.

The space group is Cm (No. 8) and the conventional cell measures 9.775, 5.950 and 8.292 Å, with angles of 90.00, 125.42 and 90.00 degrees. The inequivalent atoms are Zr at (0.000, 0.000, 0.000), Zr at (0.088, 0.253, 0.710), Zr at (0.192, 0.000, 0.423), Zr at (0.289, 0.500, 0.212), Zr at (0.397, 0.000, 0.217), Bi at (0.258, 0.500, 0.547), Bi at (0.414, 0.000, 0.871) and H at (0.192, 0.202, 0.021).

***

Material: Be2GaPd
Method: DFT, PBE
State: relaxed

The magnetization is 0.00 μB per formula unit. The energy of formation from the pure elements is -0.246 eV/atom.

The space group is Imm2 (No. 44) and the conventional cell measures 3.526, 3.564 and 7.469 Å, with angles of 90.00, 90.00 and 90.00 degrees. The inequivalent atoms are Be at (0.000, 0.000, 0.000), Be at (0.000, 0.500, 0.251), Ga at (0.000, 0.500, 0.750) and Pd at (0.000, 0.000, 0.501).

***

Material: K2BiF8
Method: DFT, PBE
State: relaxed

The magnetization is 1.13 μB per formula unit. The uncorrected formation energy comes out at -1.994 eV per atom.

The space group is C2/m (No. 12) and the conventional cell measures 16.807, 4.005 and 5.861 Å, with angles of 90.00, 109.69 and 90.00 degrees. The inequivalent atoms are K at (0.154, 0.000, 0.173), Bi at (0.000, 0.500, 0.500), F at (0.018, 0.000, 0.324), F at (0.074, 0.500, 0.864), F at (0.120, 0.500, 0.462) and F at (0.247, 0.000, 0.910).

***

Material: PmBeAl2Ru2
Method: DFT, PBE
State: relaxed

The magnetization is 0.00 μB per formula unit. The energy of formation from the pure elements is -0.492 eV/atom.

The space group is P4/mmm (No. 123) and the conventional cell measures 4.329, 4.329 and 5.484 Å, with angles of 90.00, 90.00 and 90.00 degrees. The inequivalent atoms are Pm at (0.000, 0.000, 0.000), Be at (0.000, 0.000, 0.500), Al at (0.500, 0.500, 0.252) and Ru at (0.000, 0.500, 0.500).

***

Material: CdPdWI2
Method: DFT, PBE
State: relaxed

The magnetization is 0.00 μB per formula unit. The uncorrected formation energy comes out at 1.101 eV per atom.

The space group is P4/mmm (No. 123) and the conventional cell measures 5.283, 5.283 and 5.510 Å, with angles of 90.00, 90.00 and 90.00 degrees. The inequivalent atoms are Cd at (0.000, 0.000, 0.000), Pd at (0.500, 0.500, 0.000), W at (0.000, 0.000, 0.500) and I at (0.000, 0.500, 0.500).

***

Material: Ho5Er3N8
Method: DFT, PBE
State: relaxed

The magnetization is 0.00 μB per formula unit. The uncorrected formation energy comes out at -1.759 eV per atom.

The space group is R-3m (No. 166, hexagonal axes) and the conventional cell measures 6.8844, 6.8844 and 16.8641 Å, with angles of 90.00, 90.00 and 120.00 degrees. The inequivalent atoms are Ho at (0.0000, 0.0000, 0.0000), Ho at (0.0000, 0.0000, 0.5000), Ho at (0.0000, 0.5000, 0.0000), Er at (0.0000, 0.5000, 0.5000), N at (0.0000, 0.0000, 0.2496) and N at (0.0006, 0.5003, 0.7503).

***

Material: LaTmIn6
Method: DFT, PBE
State: relaxed

The magnetization is 0.00 μB per formula unit. The energy of formation from the pure elements is -0.372 eV/atom.

The space group is P-6m2 (No. 187) and the conventional cell measures 6.7264, 6.7264 and 5.3077 Å, with angles of 90.00, 90.00 and 120.00 degrees. The inequivalent atoms are La at (0.0000, 0.0000, 0.0000), Tm at (0.6667, 0.3333, 0.5000), In at (0.0071, 0.5035, 0.0000) and In at (0.1770, 0.3540, 0.5000).

***

Material: Cs2Na2Tl5Cd2
Method: DFT, PBE
State: relaxed

The magnetization is 0.00 μB per formula unit. The energy of formation from the pure elements is 0.159 eV/atom.

The space group is I4/mmm (No. 139) and the conventional cell measures 5.776, 5.776 and 33.136 Å, with angles of 90.00, 90.00 and 90.00 degrees. The inequivalent atoms are Cs at (0.000, 0.000, 0.202), Na at (0.000, 0.000, 0.343), Tl at (0.000, 0.000, 0.000), Tl at (0.000, 0.500, 0.112) and Cd at (0.000, 0.000, 0.087).

***

Material: CdGeSb
Method: DFT, PBE
State: relaxed

The magnetization is 0.00 μB per formula unit. The uncorrected formation energy comes out at 0.168 eV per atom.

The space group is Immm (No. 71) and the conventional cell measures 2.980, 6.497 and 15.534 Å, with angles of 90.00, 90.00 and 90.00 degrees. The inequivalent atoms are Cd at (0.000, 0.000, 0.163), Ge at (0.000, 0.290, 0.500) and Sb at (0.000, 0.000, 0.356).

***

Material: CdPW2
Method: DFT, PBE
State: relaxed

The magnetization is 0.00 μB per formula unit. The energy of formation from the pure elements is 0.737 eV/atom.

The space group is C2/m (No. 12) and the conventional cell measures 5.621, 8.791 and 2.825 Å, with angles of 90.00, 110.35 and 90.00 degrees. The inequivalent atoms are Cd at (0.000, 0.000, 0.000), P at (0.000, 0.500, 0.000) and W at (0.250, 0.250, 0.500).

***

Material: CaTcBiC2
Method: DFT, PBE
State: relaxed

The magnetization is 3.21 μB per formula unit. The energy of formation from the pure elements is 2.442 eV/atom.

The space group is P4/mmm (No. 123) and the conventional cell measures 4.659, 4.659 and 5.179 Å, with angles of 90.00, 90.00 and 90.00 degrees. The inequivalent atoms are Ca at (0.000, 0.000, 0.000), Tc at (0.500, 0.500, 0.000), Bi at (0.500, 0.500, 0.500) and C at (0.000, 0.500, 0.500).

***

Material: YVZn2
Method: DFT, PBE
State: relaxed

The magnetization is 2.80 μB per formula unit. The energy of formation from the pure elements is -0.016 eV/atom.

The space group is Fm-3m (No. 225) and the conventional cell measures 6.696, 6.696 and 6.696 Å, with angles of 90.00, 90.00 and 90.00 degrees. The inequivalent atoms are Y at (0.000, 0.000, 0.000), V at (0.000, 0.000, 0.500) and Zn at (0.250, 0.250, 0.250).